DFT (meta-GGA SCAN) results for a crystal of Ta2H2Os relaxed with PBEsol.

```
5
Lattice="-1.8683 1.8810 -1.3289 -0.3969 -1.9485 -2.2001 -3.5934 -2.4833 4.8462" Properties=species:S:1:pos:R:3 pbc="T T T"
H -2.5615 -2.2328 0.4408
H -3.2972 -0.3180 0.8764
Os 0.0000 0.0000 0.0000
Ta -3.3749 -1.7974 2.2006
Ta -2.4837 -0.7533 -0.8835
```

## Properties
Total energy (eV/f.u.): -213.37
SG: I4/mmm, No. 139
Volume (Å³ per atom): 10.87